No. 1
Density functional theory data (PBE) for Sr2TlSn8 after structural relaxation.

Cell lengths 4.5954, 7.8208, 10.9135 Å; angles 111.26, 102.58, 88.84 degrees
Element x y z (fractional)
Sn: 0.1217 0.3170 0.2496
Sn: 0.3043 0.8043 0.6085
Sn: 0.8722 0.0674 0.7504
Sn: 0.7578 0.3810 0.0000
Sn: 0.6957 0.1957 0.3915
Sn: 0.8783 0.6830 0.7504
Sn: 0.2422 0.6190 0.0000
Sn: 0.1278 0.9326 0.2496
Sr: 0.6768 0.6768 0.3536
Sr: 0.3232 0.3232 0.6464
Tl: 0.5000 0.0000 0.0000

Properties
- Spin magnetization: 0.00 μB/f.u.
- Uncorrected energy: -39.99 eV for the cell shown
- Symmetry: C2/m (12)
- Theoretical density: 6.2 g/cm³

***

No. 2
Density functional theory data (PBE) for Na2Tl6Bi after structural relaxation.

Cell lengths 3.5234, 10.1657, 10.1657 Å; angles 56.53, 68.38, 68.38 degrees
Element x y z (fractional)
Tl: 0.3754 0.3433 0.0073
Tl: 0.6246 0.6567 0.9927
Tl: 0.5000 0.3092 0.6908
Tl: 0.6246 0.9927 0.6567
Tl: 0.3754 0.0073 0.3433
Tl: 0.5000 0.6908 0.3092
Na: 0.6968 0.6500 0.6500
Na: 0.3032 0.3500 0.3500
Bi: 0.0000 0.0000 0.0000

Properties
- Spin magnetization: 0.00 μB/f.u.
- Uncorrected energy: -21.09 eV for the cell shown
- E above lowest polymorph: 0.0452 eV/atom
- Symmetry: C2/m (12)
- Theoretical density: 8.9 g/cm³

***

No. 3
Density functional theory data (PBE) for BaLiHg3 after structural relaxation.

Cell lengths 5.2079, 5.2079, 5.2079 Å; angles 90.00, 90.00, 90.00 degrees
Element x y z (fractional)
Ba: 0.5000 0.5000 0.5000
Hg: 0.0000 0.0000 0.5000
Hg: 0.0000 0.5000 0.0000
Hg: 0.5000 0.0000 0.0000
Li: 0.0000 0.0000 0.0000

Properties
- Spin magnetization: 0.00 μB/f.u.
- Uncorrected energy: -6.61 eV for the cell shown
- E above lowest polymorph: 0.0104 eV/atom
- Symmetry: Pm-3m (221)
- Theoretical density: 8.8 g/cm³

***

No. 4
Density functional theory data (PBE) for SmPu2Pd3 after structural relaxation.

Cell lengths 3.5117, 3.5117, 10.8120 Å; angles 90.00, 90.00, 90.00 degrees
Each line ends with the local moment (μB).
Element x y z (fractional)
Pu: 0.5000 0.5000 0.8362  5.36
Pu: 0.5000 0.5000 0.1638  5.36
Pd: 0.0000 0.0000 0.0000  -0.04
Pd: 0.0000 0.0000 0.6645  0.01
Pd: 0.0000 0.0000 0.3355  0.01
Sm: 0.5000 0.5000 0.5000  0.06

Properties
- Spin magnetization: 11.42 μB/f.u.
- Uncorrected energy: -52.13 eV for the cell shown
- Symmetry: P4/mmm (123)
- Theoretical density: 11.9 g/cm³

***

No. 5
Density functional theory data (PBE) for NbBS4 after structural relaxation.

Cell lengths 5.3447, 5.3469, 12.0915 Å; angles 90.00, 90.00, 90.00 degrees
Element x y z (fractional)
S: 0.7848 0.7029 0.0980
S: 0.2029 0.7848 0.4019
S: 0.2152 0.7029 0.9020
S: 0.2152 0.2971 0.0980
S: 0.7971 0.7848 0.5981
S: 0.7971 0.2152 0.4019
S: 0.7848 0.2971 0.9020
S: 0.2029 0.2152 0.5981
B: 0.0000 0.5000 0.0000
B: 0.0000 0.0000 0.5000
Nb: 0.5000 0.0000 0.5000
Nb: 0.0000 0.0000 0.0000

Properties
- Spin magnetization: 0.00 μB/f.u.
- Raw formation energy: -0.512 eV/atom
- Uncorrected energy: -72.66 eV for the cell shown
- Symmetry: P222 (16)
- Theoretical density: 2.2 g/cm³

***

No. 6
Density functional theory data (PBE) for Ba3Mg after structural relaxation.

Cell lengths 4.4116, 4.4116, 10.9436 Å; angles 90.00, 90.00, 90.00 degrees
Element x y z (fractional)
Ba: 0.5000 0.5000 0.1918
Ba: 0.0000 0.0000 0.5000
Ba: 0.5000 0.5000 0.8082
Mg: 0.0000 0.0000 0.0000

Properties
- Spin magnetization: 0.00 μB/f.u.
- Uncorrected energy: -7.42 eV for the cell shown
- E above lowest polymorph: 0.0000 eV/atom
- Symmetry: P4/mmm (123)
- Theoretical density: 3.4 g/cm³

***

No. 7
Density functional theory data (PBE) for ScTa2W after structural relaxation.

Cell lengths 5.0403, 5.0403, 5.5390 Å; angles 89.15, 89.15, 31.61 degrees
Element x y z (fractional)
Ta: 0.2527 0.2527 0.2550
Ta: 0.0011 0.0011 0.9985
W: 0.4979 0.4979 0.4966
Sc: 0.7483 0.7483 0.7498

Properties
- Spin magnetization: 0.00 μB/f.u.
- Uncorrected energy: -41.91 eV for the cell shown
- Symmetry: Cm (8)
- Theoretical density: 13.3 g/cm³

***

No. 8
Density functional theory data (PBE) for AcZn3Rh4O12 after structural relaxation.

Cell lengths 6.6536, 6.6536, 6.6536 Å; angles 109.47, 109.47, 109.47 degrees
Each line ends with the local moment (μB).
Element x y z (fractional)
Zn: 0.0000 0.5000 0.5000  0.01
Zn: 0.5000 0.0000 0.5000  0.01
Zn: 0.5000 0.5000 0.0000  0.01
O: 0.6951 0.8219 0.5171  0.09
O: 0.6951 0.1781 0.8732  0.09
O: 0.5171 0.6951 0.8219  0.09
O: 0.3049 0.8219 0.1268  0.09
O: 0.3049 0.1781 0.4829  0.09
O: 0.1781 0.8732 0.6951  0.09
O: 0.1268 0.3049 0.8219  0.09
O: 0.4829 0.3049 0.1781  0.09
O: 0.1781 0.4829 0.3049  0.09
O: 0.8732 0.6951 0.1781  0.09
O: 0.8219 0.5171 0.6951  0.09
O: 0.8219 0.1268 0.3049  0.09
Rh: 0.0000 0.5000 0.0000  0.43
Rh: 0.5000 0.0000 0.0000  0.43
Rh: 0.5000 0.5000 0.5000  0.43
Rh: 0.0000 0.0000 0.5000  0.43
Ac: 0.0000 0.0000 0.0000  0.01

Properties
- Spin magnetization: 3.11 μB/f.u.
- Raw formation energy: -1.195 eV/atom
- Uncorrected energy: -120.73 eV for the cell shown
- Symmetry: Im-3 (204)
- Theoretical density: 7.5 g/cm³

***

- uncorrected energy of number 8 (AcZn3Rh4O12)?
  -120.73 eV for the cell shown